A geometry-optimized PdPtSe3Br structure, computed with PBE.

Values from the calculation:
Calculated volume: 322.7 Å³ per cell
Raw formation energy: -0.298 eV per atom
Total magnetic moment: 0.0 μB/cell
Final energy: -4.1915 eV/atom

POSCAR file:
```
PdPtSe3Br
1.0
1.8545 -8.0500 0.0000
1.8545 8.0500 0.0000
0.0000 0.0000 10.8089
Pd Pt Se Br
2 2 6 2
Direct
0.1163 0.8837 0.7500
0.8837 0.1163 0.2500
0.5000 0.5000 0.0000
0.5000 0.5000 0.5000
0.1042 0.8958 0.5141
0.1042 0.8958 0.9859
0.4873 0.5127 0.2500
0.5127 0.4873 0.7500
0.8958 0.1042 0.0141
0.8958 0.1042 0.4859
0.2712 0.7288 0.2500
0.7288 0.2712 0.7500
```

---

A geometry-optimized Sr6PdPt2Br3 structure, computed with PBE.

Values from the calculation:
Calculated volume: 393.1 Å³ per cell
Raw formation energy: -1.195 eV per atom
Total magnetic moment: 0.0 μB/cell
Final energy: -3.8935 eV/atom

POSCAR file:
```
Sr6PdPt2Br3
1.0
3.7855 -6.5577 0.0000
3.7855 6.5577 0.0000
-2.5209 0.0000 7.9176
Sr Pd Pt Br
6 1 2 3
Direct
0.0917 0.4295 0.7886
0.2328 0.2328 0.2116
0.4295 0.0917 0.7886
0.5705 0.9083 0.2114
0.7672 0.7672 0.7884
0.9083 0.5705 0.2114
0.5000 0.5000 0.0000
0.1666 0.8334 0.0000
0.8334 0.1666 0.0000
0.0000 0.0000 0.5000
0.3335 0.6665 0.5000
0.6665 0.3335 0.5000
```